# 1
Material: La3ErGe6
Method: DFT, PBE
State: relaxed

Electronic total energy in eV per formula unit: -54.2
SG: R-3c
Formation energy from the elements in kJ/mol of atoms: -69

Cell: 7.9806 7.9806 7.9806 Å, 98.26 98.26 98.26°
Positions (direct):
La 0.1837 0.7500 0.3163
La 0.2500 0.6837 0.8163
La 0.3163 0.1837 0.7500
La 0.6837 0.8163 0.2500
La 0.7500 0.3163 0.1837
La 0.8163 0.2500 0.6837
Er 0.0000 0.0000 0.0000
Er 0.5000 0.5000 0.5000
Ge 0.0140 0.0894 0.3775
Ge 0.0894 0.3775 0.0140
Ge 0.1225 0.4106 0.4860
Ge 0.3775 0.0140 0.0894
Ge 0.4106 0.4860 0.1225
Ge 0.4860 0.1225 0.4106
Ge 0.5140 0.8775 0.5894
Ge 0.5894 0.5140 0.8775
Ge 0.6225 0.9860 0.9106
Ge 0.8775 0.5894 0.5140
Ge 0.9106 0.6225 0.9860
Ge 0.9860 0.9106 0.6225

=====

# 2
Material: InSi3As
Method: DFT, PBE
State: relaxed

Electronic total energy in eV per formula unit: -19.1
E above lowest polymorph in eV per atom: 0.0000
SG: Pm-3m

Cell: 4.8711 4.8711 4.8711 Å, 90.00 90.00 90.00°
Positions (direct):
In 0.0000 0.0000 0.0000
Si 0.0000 0.5000 0.5000
Si 0.5000 0.0000 0.5000
Si 0.5000 0.5000 0.0000
As 0.5000 0.5000 0.5000

=====

# 3
Material: BaBi2Rh
Method: DFT, PBE
State: relaxed

Electronic total energy in eV per formula unit: -17.2
SG: R-3m
Formation energy from the elements in kJ/mol of atoms: -5

Cell: 4.2745 4.2745 28.4250 Å, 90.00 90.00 120.00°
Positions (direct):
Ba 0.0000 0.0000 0.0000
Ba 0.3333 0.6667 0.6667
Ba 0.6667 0.3333 0.3333
Bi 0.0000 0.0000 0.1231
Bi 0.0000 0.0000 0.8769
Bi 0.3333 0.6667 0.5436
Bi 0.3333 0.6667 0.7897
Bi 0.6667 0.3333 0.2103
Bi 0.6667 0.3333 0.4564
Rh 0.0000 0.0000 0.5000
Rh 0.3333 0.6667 0.1667
Rh 0.6667 0.3333 0.8333

=====

# 4
Material: TlP4Os
Method: DFT, PBE
State: relaxed

Electronic total energy in eV per formula unit: -28.6
SG: F-43m
Formation energy from the elements in kJ/mol of atoms: 107

Cell: 5.2801 5.2801 5.2801 Å, 60.00 60.00 60.00°
Positions (direct):
Tl 0.0000 0.0000 0.0000
P 0.0834 0.6389 0.6389
P 0.6389 0.0834 0.6389
P 0.6389 0.6389 0.0834
P 0.6389 0.6389 0.6389
Os 0.2500 0.2500 0.2500

=====

# 5
Material: ScAgSb2
Method: DFT, PBE
State: relaxed

Electronic total energy in eV per formula unit: -19.0
SG: Cm

Cell: 10.7079 3.9027 4.5620 Å, 90.00 103.75 90.00°
Positions (direct):
Sc 0.0000 0.0000 0.0000
Sc 0.5000 0.5000 0.0000
Ag 0.2150 0.0000 0.6000
Ag 0.7150 0.5000 0.6000
Sb 0.2309 0.5000 0.0887
Sb 0.4701 0.0000 0.4834
Sb 0.7309 0.0000 0.0887
Sb 0.9701 0.5000 0.4834

=====

# 6
Material: BaPbBr2
Method: DFT, PBE
State: relaxed

Electronic total energy in eV per formula unit: -13.1
E above lowest polymorph in eV per atom: 0.1186
SG: I4/mmm

Cell: 5.3478 5.3478 9.4076 Å, 90.00 90.00 90.00°
Positions (direct):
Ba 0.0000 0.0000 0.0000
Ba 0.5000 0.5000 0.5000
Pb 0.0000 0.0000 0.5000
Pb 0.5000 0.5000 0.0000
Br 0.0000 0.5000 0.2500
Br 0.0000 0.5000 0.7500
Br 0.5000 0.0000 0.2500
Br 0.5000 0.0000 0.7500

=====

- What is the formula in the fifth record?
  ScAgSb2

=====

- Which value of electronic total energy does entry 1 give?
  -54.2 eV per formula unit

=====

What did the second record say?
Material: InSi3As
Method: DFT, PBE
State: relaxed

Electronic total energy in eV per formula unit: -19.1
E above lowest polymorph in eV per atom: 0.0000
SG: Pm-3m

Cell: 4.8711 4.8711 4.8711 Å, 90.00 90.00 90.00°
Positions (direct):
In 0.0000 0.0000 0.0000
Si 0.0000 0.5000 0.5000
Si 0.5000 0.0000 0.5000
Si 0.5000 0.5000 0.0000
As 0.5000 0.5000 0.5000